(1)
Computed, not measured: a geometry-optimized Na2Pu2MnN6 structure at the PBE-GGA level of DFT.

POSCAR file:
```
Na2Pu2MnN6
1.0
2.862 -4.804 0.000
2.862 4.804 0.000
-1.733 0.000 5.717
Na Pu Mn N
2 2 1 6
Cartesian
2.862 3.284 0.000
2.862 -3.284 0.000
1.995 1.596 2.858
1.995 -1.596 2.858
-0.867 0.000 2.858
0.011 1.616 3.867
0.924 0.000 1.857
0.011 -1.616 3.867
3.979 1.616 1.850
3.066 0.000 3.860
3.979 -1.616 1.850
```

Summary:
space-group type	C2/m (12)
E_form (uncorrected)	-450	meV/atom

(2)
Computed, not measured: a geometry-optimized NaMnSe2N structure at the PBE-GGA level of DFT.

POSCAR file:
```
NaMnSe2N
1.0
5.139 0.000 0.000
0.000 5.139 0.000
0.000 0.000 3.477
Na Mn Se N
1 1 2 1
Cartesian
0.000 0.000 0.000
2.569 2.569 1.739
0.000 2.569 1.739
2.569 0.000 1.739
2.569 2.569 0.000
```

Summary:
space-group type	P4/mmm (123)
E_form (uncorrected)	-158	meV/atom
excess energy over the best structure of this formula in the dataset	0.000	eV per atom

(3)
Computed, not measured: a geometry-optimized NaMnSe2N structure at the PBE-GGA level of DFT.

POSCAR file:
```
NaMnSe2N
1.0
5.196 0.000 0.000
0.000 5.196 0.000
0.000 0.000 4.237
Na Mn Se N
1 1 2 1
Cartesian
0.000 0.000 0.000
2.598 2.598 2.119
0.000 2.598 0.000
2.598 0.000 0.000
0.000 0.000 2.119
```

Summary:
space-group type	P4/mmm (123)
E_form (uncorrected)	1252	meV/atom
excess energy over the best structure of this formula in the dataset	1.410	eV per atom

(4)
Computed, not measured: a geometry-optimized NaMnSeN2 structure at the PBE-GGA level of DFT.

POSCAR file:
```
NaMnSeN2
1.0
4.023 0.000 0.000
0.000 4.023 0.000
0.000 0.000 5.078
Na Mn Se N
1 1 1 2
Cartesian
0.000 0.000 0.000
2.012 2.012 2.539
0.000 0.000 2.539
0.000 2.012 0.000
2.012 0.000 0.000
```

Summary:
space-group type	P4/mmm (123)
E_form (uncorrected)	2613	meV/atom
excess energy over the best structure of this formula in the dataset	2.261	eV per atom